Entry from the Alexandria database: crystalline CaCuAsBr2 at its relaxed geometry (PBEsol).

Computed properties:
- formation energy from raw total energies (eV/atom) = 0.15
- VASP energy (eV/atom) = -2.9166
- space group = P4/mmm (123)
- total moment (μB per atom) = 0.404

Cell lengths 5.3785, 5.3785, 5.7903 Å; angles 90.00, 90.00, 90.00 degrees
Fractional coordinates of all 5 atoms:
Ca1 0.0000 0.0000 0.0000
Cu1 0.5000 0.5000 0.5000
As1 0.0000 0.0000 0.5000
Br1 0.0000 0.5000 0.0000
Br2 0.5000 0.0000 0.0000